Record 1
Below is NdNp2S3 after structural relaxation, with properties calculated at the PBE level.

Cell: 8.861 8.861 8.861 Å, 154.10 154.10 36.96°
Site moments in Bohr magnetons follow the coordinates.
Element x y z (fractional)
1 S 0.500 0.500 0.000  -0.03
2 S 0.830 0.830 0.000  -0.09
3 S 0.170 0.170 0.000  -0.09
4 Nd 0.000 0.000 0.000  0.04
5 Np 0.334 0.334 0.000  4.00
6 Np 0.666 0.666 0.000  4.00

Results
Uncorrected energy in eV per atom: -8.745

---

Record 2
Below is LiEr3Hg4 after structural relaxation, with properties calculated at the PBE level.

Cell: 5.112 5.112 8.942 Å, 73.39 73.39 60.00°
Element x y z (fractional)
1 Hg 0.374 0.374 0.877
2 Hg 0.123 0.123 0.631
3 Er 0.254 0.254 0.238
4 Hg 0.626 0.626 0.123
5 Er 0.746 0.746 0.762
6 Hg 0.877 0.877 0.369
7 Li 0.000 0.000 0.000
8 Er 0.500 0.500 0.500

Results
Uncorrected energy in eV per atom: -2.556
Formation enthalpy at 0 K in meV/atom: -455

---

Record 3
Below is BaP2AuI after structural relaxation, with properties calculated at the PBE level.

Cell: 4.854 6.887 4.854 Å, 90.00 90.00 90.00°
Site moments in Bohr magnetons follow the coordinates.
Element x y z (fractional)
1 P 0.500 0.000 0.000  0.26
2 P 0.000 0.000 0.500  0.13
3 I 0.500 0.500 0.500  0.03
4 Au 0.000 0.000 0.000  0.08
5 Ba 0.000 0.500 0.000  0.00

Results
Uncorrected energy in eV per atom: -3.609

---

Record 4
Below is Ba3GaSb3 after structural relaxation, with properties calculated at the PBE level.

Cell: 7.250 11.320 14.253 Å, 90.00 90.00 108.68°
Element x y z (fractional)
1 Ba 0.626 0.652 0.628
2 Sb 0.045 0.680 0.121
3 Sb 0.201 0.000 0.897
4 Sb 0.955 0.320 0.879
5 Sb 0.455 0.320 0.621
6 Sb 0.701 0.000 0.603
7 Ba 0.192 0.000 0.644
8 Sb 0.865 0.320 0.379
9 Ba 0.808 0.000 0.356
10 Ba 0.027 0.652 0.372
11 Ga 0.913 0.827 0.000
12 Ga 0.087 0.173 0.000
13 Ba 0.874 0.348 0.128
14 Ba 0.692 0.000 0.856
15 Ba 0.308 0.000 0.144
16 Sb 0.135 0.680 0.621
17 Sb 0.635 0.680 0.879
18 Ba 0.374 0.348 0.372
19 Ba 0.973 0.348 0.628
20 Sb 0.799 0.000 0.103
21 Sb 0.299 0.000 0.397
22 Ga 0.587 0.173 0.500
23 Ba 0.126 0.652 0.872
24 Ba 0.473 0.348 0.872
25 Sb 0.545 0.680 0.379
26 Sb 0.365 0.320 0.121
27 Ba 0.527 0.652 0.128
28 Ga 0.413 0.827 0.500

Results
Uncorrected energy in eV per atom: -3.929

---

Record 5
Below is AcPu2Pb2 after structural relaxation, with properties calculated at the PBE level.

Cell: 5.135 5.135 14.231 Å, 90.00 90.00 120.00°
Site moments in Bohr magnetons follow the coordinates.
Element x y z (fractional)
1 Pb 0.000 0.000 0.880  -0.07
2 Pb 0.000 0.000 0.120  -0.07
3 Ac 0.667 0.333 0.750  0.05
4 Pu 0.333 0.667 0.979  5.73
5 Pb 0.000 0.000 0.380  -0.07
6 Pu 0.333 0.667 0.521  5.73
7 Ac 0.333 0.667 0.250  0.05
8 Pu 0.667 0.333 0.021  5.73
9 Pu 0.667 0.333 0.479  5.73
10 Pb 0.000 0.000 0.620  -0.07

Results
Uncorrected energy in eV per atom: -8.249
Formation enthalpy at 0 K in meV/atom: -211

---

Record 6
Below is RbNb2S after structural relaxation, with properties calculated at the PBE level.

Cell: 4.695 4.695 9.911 Å, 76.30 76.30 90.00°
Element x y z (fractional)
1 Nb 0.460 0.625 0.250
2 S 0.250 0.750 0.500
3 S 0.500 0.500 0.000
4 Nb 0.290 0.125 0.250
5 Nb 0.375 0.710 0.750
6 Nb 0.875 0.540 0.750
7 Rb 0.750 0.250 0.500
8 Rb 0.000 0.000 0.000

Results
Uncorrected energy in eV per atom: -5.687

---

Record 7
Below is HfTiGa2 after structural relaxation, with properties calculated at the PBE level.

Cell: 2.938 2.938 7.922 Å, 90.00 90.00 90.00°
Element x y z (fractional)
1 Hf 0.500 0.500 0.500
2 Ga 0.000 0.000 0.239
3 Ga 0.000 0.000 0.761
4 Ti 0.500 0.500 0.000

Results
Offset from the most stable computed form in meV/atom: 13.7
Uncorrected energy in eV per atom: -6.391
Formation enthalpy at 0 K in meV/atom: -415

---

Record 8
Below is ReP2Pb after structural relaxation, with properties calculated at the PBE level.

Cell: 5.017 5.017 5.017 Å, 131.12 131.12 71.62°
Element x y z (fractional)
1 P 0.000 0.000 0.000
2 Pb 0.500 0.500 0.000
3 Re 0.750 0.250 0.500
4 P 0.250 0.750 0.500

Results
Uncorrected energy in eV per atom: -5.675
Formation enthalpy at 0 K in meV/atom: 1069

---

Record 9
Below is Th3FeCo8 after structural relaxation, with properties calculated at the PBE level.

Cell: 5.024 5.024 8.787 Å, 73.39 73.39 60.00°
Site moments in Bohr magnetons follow the coordinates.
Element x y z (fractional)
1 Fe 0.135 0.135 0.596  2.76
2 Co 0.060 0.060 0.324  1.00
3 Co 0.810 0.810 0.570  1.26
4 Co 0.060 0.556 0.324  1.00
5 Th 0.012 0.012 0.964  -0.20
6 Co 0.065 0.564 0.808  0.72
7 Th 0.622 0.622 0.133  -0.27
8 Co 0.564 0.564 0.808  0.72
9 Co 0.556 0.060 0.324  1.00
10 Co 0.311 0.311 0.066  0.67
11 Th 0.492 0.492 0.525  -0.24
12 Co 0.564 0.065 0.808  0.72

Results
Uncorrected energy in eV per atom: -7.409
Formation enthalpy at 0 K in meV/atom: -112

---

Record 10
Below is Nd3Zn4Hg2 after structural relaxation, with properties calculated at the PBE level.

Cell: 4.740 5.944 8.925 Å, 112.65 90.00 113.50°
Element x y z (fractional)
1 Hg 0.388 0.775 0.722
2 Nd 0.000 0.000 0.000
3 Zn 0.270 0.541 0.947
4 Zn 0.950 0.900 0.609
5 Nd 0.333 0.666 0.330
6 Nd 0.667 0.334 0.670
7 Zn 0.050 0.100 0.391
8 Zn 0.730 0.459 0.053
9 Hg 0.612 0.225 0.278

Results
Uncorrected energy in eV per atom: -2.605
Formation enthalpy at 0 K in meV/atom: -382

---

uncorrected energy of number 3 (BaP2AuI)? -3.609 eV per atom